Below is crystalline NdWNO3 at its relaxed geometry, with properties calculated at the PBE+U level.

Unit cell a=5.2250 b=5.5327 c=6.6449 alpha=111.55 beta=107.13 gamma=93.51
Sites, in units of the cell vectors:
Nd: 0.0000 0.0000 0.0000
Nd: 0.2353 0.7192 0.4802
W: 0.5021 0.4907 0.9549
W: 0.7237 0.2216 0.5303
N: 0.4202 0.0018 0.3162
N: 0.5816 0.1669 0.7993
O: 0.2197 0.6427 0.8187
O: 0.3282 0.4115 0.1362
O: 0.6358 0.5711 0.6792
O: 0.8370 0.7074 0.1483
O: 0.9112 0.3068 0.3507
O: 0.9782 0.0231 0.6380

For the total energy, the calculation gives -7.997 eV per atom. For the volume, the calculation gives 167.6 Å³ per cell. The calculation puts the density of states at the Fermi level at 0.000 states/eV/atom. The space group is P1, No. 1.